# Pr3ScP4, relaxed, DFT PBE
# **Total magnetic moment**: 0.0000 μB/atom
# **Symmetry**: Cmmm, No. 65
# **DFT formation energy**: -1.45 eV/atom
# **Crystal system**: orthorhombic
data_Pr3ScP4
_chemical_formula_sum 'Pr3 Sc1 P4'
_space_group_name_H-M_alt 'P 1'
_space_group_IT_number 1
_space_group_name_Hall 'P 1'
_cell_length_a 4.112
_cell_length_b 7.098
_cell_length_c 7.098
_cell_angle_alpha 109.46
_cell_angle_beta 90.00
_cell_angle_gamma 90.00
loop_
_atom_site_label
_atom_site_fract_x
_atom_site_fract_y
_atom_site_fract_z
Pr1 0.000 0.000 0.500
Pr2 0.500 0.500 0.500
Pr3 0.000 0.500 0.000
Sc1 0.500 0.000 0.000
P1 0.000 0.233 0.233
P2 0.500 0.759 0.241
P3 0.000 0.767 0.767
P4 0.500 0.241 0.759